# Ca2Cd2Pd5Au PBE relaxed
data_Ca2Cd2Pd5Au
_space_group_name_H-M_alt 'P 4/m b m'
_space_group_IT_number 127
_space_group_name_Hall '-P 4 2ab'
_cell_length_a 9.916
_cell_length_b 9.916
_cell_length_c 4.008
_cell_angle_alpha 90.00
_cell_angle_beta 90.00
_cell_angle_gamma 90.00
loop_
_atom_site_label
_atom_site_fract_x
_atom_site_fract_y
_atom_site_fract_z
Ca1 0.174 0.326 0.000
Cd1 0.126 0.626 0.000
Pd1 0.000 0.500 0.500
Pd2 0.062 0.804 0.500
Au1 0.000 0.000 0.000
# Total magnetization, μB/f.u.: 0.00
# Calculated formation energy, eV per atom: -0.43
# E, eV per cell: -78.7